VASP calculation (PBE) on a relaxed Ta2CF crystal.

abc: 4.0483 4.0483 4.0483
angles: 60.00 60.00 60.00
With the nearest neighbours (Å) after each atom.
Sites, in units of the cell vectors:
Ta: 0.7500 0.7500 0.7500  4 F 2.48, 4 C 2.48
Ta: 0.2500 0.2500 0.2500  4 F 2.48, 4 C 2.48
F: 0.5000 0.5000 0.5000  8 Ta 2.48
C: 0.0000 0.0000 0.0000  8 Ta 2.48

Results
- Energy relative to the elements, uncorrected: -119.2 meV/atom
- Spin magnetization: 0.0 μB/cell
- Energy above the most stable polymorph in this dataset: 0.551 kcal/mol of atoms
- Calculated volume: 46.9 Å³ per cell


VASP calculation (PBE) on a relaxed TaC3F crystal.

abc: 4.2034 4.2034 4.2034
angles: 90.00 90.00 90.00
With the nearest neighbours (Å) after each atom.
Sites, in units of the cell vectors:
C: 0.5000 0.0000 0.0000  2 Ta 2.10
C: 0.0000 0.0000 0.5000  2 Ta 2.10
C: 0.0000 0.5000 0.0000  2 Ta 2.10
F: 0.5000 0.5000 0.5000  12 C 2.97
Ta: 0.0000 0.0000 0.0000  6 C 2.10

Results
- Energy relative to the elements, uncorrected: 1954.4 meV/atom
- Spin magnetization: 0.2 μB/cell
- Energy above the most stable polymorph in this dataset: 0.000 kcal/mol of atoms
- Calculated volume: 74.3 Å³ per cell


VASP calculation (PBE) on a relaxed TaTi2CF crystal.

abc: 3.7783 4.7962 3.7783
angles: 90.00 90.00 90.00
With the nearest neighbours (Å) after each atom.
Sites, in units of the cell vectors:
Ti: 0.5000 0.0000 0.0000  2 F 1.89
Ti: 0.0000 0.0000 0.5000  2 F 1.89
F: 0.0000 0.0000 0.0000  4 Ti 1.89
C: 0.0000 0.5000 0.0000  2 F 2.40, 4 Ta 2.67
Ta: 0.5000 0.5000 0.5000  4 C 2.67

Results
- Energy relative to the elements, uncorrected: 143.4 meV/atom
- Spin magnetization: 0.0 μB/cell
- Calculated volume: 68.5 Å³ per cell


VASP calculation (PBE) on a relaxed Tb2CF crystal.

abc: 3.5345 3.5345 6.6480
angles: 74.58 74.58 60.00
With the nearest neighbours (Å) after each atom.
Sites, in units of the cell vectors:
Tb: 0.2643 0.2643 0.2072  3 C 2.44
Tb: 0.0708 0.0708 0.7875  3 C 2.42, 3 F 2.69
F: 0.4963 0.4963 0.5110  6 Tb 2.69-2.80
C: 0.6686 0.6686 0.9944  6 Tb 2.42-2.44

Results
- Energy relative to the elements, uncorrected: -1479.5 meV/atom
- Spin magnetization: 0.0 μB/cell
- Energy above the most stable polymorph in this dataset: 1.792 kcal/mol of atoms
- Calculated volume: 68.5 Å³ per cell


VASP calculation (PBE) on a relaxed Tb2CF crystal.

abc: 3.6352 6.3779 6.3821
angles: 90.45 90.00 90.00
With the nearest neighbours (Å) after each atom.
Sites, in units of the cell vectors:
F: 0.5000 0.5920 0.8228  4 Tb 2.39-2.47, 1 F 2.56
F: 0.5000 0.4080 0.1772  4 Tb 2.39-2.47, 1 F 2.56
Tb: 0.5000 0.2183 0.8379  2 F 2.39-2.47, 3 C 2.52-2.56
Tb: 0.0000 0.7959 0.6677  2 F 2.45, 3 C 2.48
Tb: 0.0000 0.2041 0.3323  2 F 2.45, 3 C 2.48
Tb: 0.5000 0.7817 0.1621  2 F 2.39-2.47, 3 C 2.52-2.56
C: 0.5000 0.0000 0.5000  6 Tb 2.48-2.56
C: 0.0000 0.0000 0.0000  6 Tb 2.48-2.52

Results
- Energy relative to the elements, uncorrected: -1557.2 meV/atom
- Spin magnetization: 1.0 μB/cell
- Energy above the most stable polymorph in this dataset: 0.000 kcal/mol of atoms
- Calculated volume: 148.0 Å³ per cell


VASP calculation (PBE) on a relaxed Tb2C2F crystal.

abc: 4.2624 6.3665 6.7533
angles: 107.95 108.40 90.00
With the nearest neighbours (Å) after each atom.
Sites, in units of the cell vectors:
Tb: 0.8186 0.1108 0.2871  4 C 2.31-2.58, 2 F 2.47-2.49
Tb: 0.4685 0.6108 0.2871  4 C 2.31-2.58, 2 F 2.47-2.49
Tb: 0.1814 0.8892 0.7129  4 C 2.31-2.58, 2 F 2.47-2.49
Tb: 0.5315 0.3892 0.7129  4 C 2.31-2.58, 2 F 2.47-2.49
F: 0.5450 0.7500 0.0000  4 Tb 2.47-2.49
F: 0.4550 0.2500 0.0000  4 Tb 2.47-2.49
C: 0.6583 0.9857 0.5608  1 C 1.39
C: 0.9025 0.4857 0.5608  1 C 1.39
C: 0.3417 0.0143 0.4392  1 C 1.39
C: 0.0975 0.5143 0.4392  1 C 1.39

Results
- Energy relative to the elements, uncorrected: -1293.8 meV/atom
- Spin magnetization: 0.0 μB/cell
- Calculated volume: 164.5 Å³ per cell


VASP calculation (PBE) on a relaxed Tb2CF crystal.

abc: 3.5923 3.5923 6.3183
angles: 73.48 73.48 60.00
With the nearest neighbours (Å) after each atom.
Sites, in units of the cell vectors:
F: 0.5000 0.5000 0.5000  6 Tb 2.67
Tb: 0.2602 0.2602 0.2196  3 C 2.45, 3 F 2.67
Tb: 0.7398 0.7398 0.7804  3 C 2.45, 3 F 2.67
C: 0.0000 0.0000 0.0000  6 Tb 2.45

Results
- Energy relative to the elements, uncorrected: -1550.0 meV/atom
- Spin magnetization: 0.0 μB/cell
- Energy above the most stable polymorph in this dataset: 0.166 kcal/mol of atoms
- Calculated volume: 66.7 Å³ per cell


VASP calculation (PBE) on a relaxed Tc2C2F crystal.

abc: 6.0020 6.0020 2.7114
angles: 90.00 90.00 90.00
With the nearest neighbours (Å) after each atom.
Sites, in units of the cell vectors:
C: 0.3705 0.8705 0.0000  6 Tc 2.19-2.27, 1 C 2.20, 2 F 2.36
C: 0.8705 0.6295 0.0000  6 Tc 2.19-2.27, 1 C 2.20, 2 F 2.36
C: 0.1295 0.3705 0.0000  6 Tc 2.19-2.27, 1 C 2.20, 2 F 2.36
C: 0.6295 0.1295 0.0000  6 Tc 2.19-2.27, 1 C 2.20, 2 F 2.36
Tc: 0.1559 0.6559 0.5000  6 C 2.19-2.27
Tc: 0.3441 0.1559 0.5000  6 C 2.19-2.27
Tc: 0.8441 0.3441 0.5000  6 C 2.19-2.27
Tc: 0.6559 0.8441 0.5000  6 C 2.19-2.27
F: 0.5000 0.5000 0.0000  4 C 2.36
F: 0.0000 0.0000 0.0000  4 C 2.36

Results
- Energy relative to the elements, uncorrected: 444.6 meV/atom
- Spin magnetization: 0.0 μB/cell
- Energy above the most stable polymorph in this dataset: 5.816 kcal/mol of atoms
- Calculated volume: 97.7 Å³ per cell